A relaxed structure of Pm2PrHoIn4. Source: the Alexandria database, functional PBE.

a = 5.421 Å, b = 5.421 Å, c = 9.418 Å
α = 73.27°, β = 73.27°, γ = 60.00°
Fractional positions:
Pm 0.751 0.751 0.748
Pm 0.249 0.249 0.252
Pr 0.000 0.000 0.000
Ho 0.500 0.500 0.500
In 0.873 0.873 0.380
In 0.623 0.623 0.130
In 0.377 0.377 0.870
In 0.127 0.127 0.620

Output
The calculation puts the size of the total moment at 0.0 μB/cell. The calculation puts the formation energy at -0.481 eV per atom. As for the symmetry: R-3m (166).